1.
# MnCo (PBE, relaxed)
# DOS(E_F) ... 1.611 states/eV/f.u.
# Formation enthalpy at 0 K ... -0.013 eV/atom
data_MnCo
_chemical_formula_sum 'Mn6 Co6'
_symmetry_space_group_name_H-M 'C m m m'
_symmetry_Int_Tables_number 65
_symmetry_space_group_name_Hall '-C 2 2'
_cell_length_a 3.551
_cell_length_b 10.832
_cell_length_c 3.472
_cell_angle_alpha 90.00
_cell_angle_beta 90.00
_cell_angle_gamma 90.00
loop_
_atom_site_label
_atom_site_type_symbol
_atom_site_fract_x
_atom_site_fract_y
_atom_site_fract_z
Mn1 Mn 0.000 0.000 0.000
Mn2 Mn 0.000 0.162 0.500
Co1 Co 0.000 0.336 0.000
Co2 Co 0.000 0.500 0.500

2.
# La3YSe (PBE, relaxed)
# DFT total energy ... -22.6 eV per cell
# DOS(E_F) ... 8.758 states/eV/f.u.
data_La3YSe
_chemical_formula_sum 'La3 Y1 Se1'
_symmetry_space_group_name_H-M 'P m -3 m'
_symmetry_Int_Tables_number 221
_symmetry_space_group_name_Hall '-P 4 2 3'
_cell_length_a 5.748
_cell_length_b 5.748
_cell_length_c 5.748
_cell_angle_alpha 90.00
_cell_angle_beta 90.00
_cell_angle_gamma 90.00
loop_
_atom_site_label
_atom_site_type_symbol
_atom_site_fract_x
_atom_site_fract_y
_atom_site_fract_z
La1 La 0.000 0.000 0.500
Y1 Y 0.000 0.000 0.000
Se1 Se 0.500 0.500 0.500

3.
# SiIrBr2 (PBE, relaxed)
# DFT total energy ... -42.8 eV per cell
# DOS(E_F) ... 2.170 states/eV/f.u.
data_SiIrBr2
_chemical_formula_sum 'Si3 Ir3 Br6'
_symmetry_space_group_name_H-M 'R -3 m'
_symmetry_Int_Tables_number 166
_symmetry_space_group_name_Hall '-R 3 2"'
_cell_length_a 3.5890
_cell_length_b 3.5890
_cell_length_c 24.8137
_cell_angle_alpha 90.00
_cell_angle_beta 90.00
_cell_angle_gamma 120.00
loop_
_atom_site_label
_atom_site_type_symbol
_atom_site_fract_x
_atom_site_fract_y
_atom_site_fract_z
Si1 Si 0.0000 0.0000 0.0000
Ir1 Ir 0.0000 0.0000 0.5000
Br1 Br 0.0000 0.0000 0.2271

4.
# CaPm4Ho4 (PBE, relaxed)
# DOS(E_F) ... 12.573 states/eV/f.u.
# Formation enthalpy at 0 K ... 0.062 eV/atom
data_CaPm4Ho4
_chemical_formula_sum 'Ca2 Pm8 Ho8'
_symmetry_space_group_name_H-M 'P -1'
_symmetry_Int_Tables_number 2
_symmetry_space_group_name_Hall '-P 1'
_cell_length_a 6.689
_cell_length_b 9.094
_cell_length_c 10.608
_cell_angle_alpha 105.73
_cell_angle_beta 100.25
_cell_angle_gamma 96.60
loop_
_atom_site_label
_atom_site_type_symbol
_atom_site_fract_x
_atom_site_fract_y
_atom_site_fract_z
Ca1 Ca 0.003 0.260 0.258
Pm1 Pm 0.129 0.358 0.610
Pm2 Pm 0.222 0.958 0.398
Pm3 Pm 0.332 0.070 0.745
Pm4 Pm 0.404 0.652 0.949
Ho1 Ho 0.061 0.313 0.932
Ho2 Ho 0.276 0.028 0.066
Ho3 Ho 0.336 0.579 0.249
Ho4 Ho 0.448 0.690 0.590

5.
# PaCuRhPb (PBE, relaxed)
# DOS(E_F) ... 3.884 states/eV/f.u.
# Formation enthalpy at 0 K ... -0.211 eV/atom
data_PaCuRhPb
_chemical_formula_sum 'Pa4 Cu4 Rh4 Pb4'
_symmetry_space_group_name_H-M 'F -4 3 m'
_symmetry_Int_Tables_number 216
_symmetry_space_group_name_Hall 'F -4 2 3'
_cell_length_a 6.816
_cell_length_b 6.816
_cell_length_c 6.816
_cell_angle_alpha 90.00
_cell_angle_beta 90.00
_cell_angle_gamma 90.00
loop_
_atom_site_label
_atom_site_type_symbol
_atom_site_fract_x
_atom_site_fract_y
_atom_site_fract_z
Pa1 Pa 0.000 0.000 0.000
Cu1 Cu 0.250 0.250 0.250
Rh1 Rh 0.250 0.250 0.750
Pb1 Pb 0.000 0.000 0.500

6.
# MnCr2Cl (PBE, relaxed)
# DFT total energy ... -85.4 eV per cell
# DOS(E_F) ... 6.364 states/eV/f.u.
data_MnCr2Cl
_chemical_formula_sum 'Mn3 Cr6 Cl3'
_symmetry_space_group_name_H-M 'R -3 m'
_symmetry_Int_Tables_number 166
_symmetry_space_group_name_Hall '-R 3 2"'
_cell_length_a 2.7116
_cell_length_b 2.7116
_cell_length_c 23.1576
_cell_angle_alpha 90.00
_cell_angle_beta 90.00
_cell_angle_gamma 120.00
loop_
_atom_site_label
_atom_site_type_symbol
_atom_site_fract_x
_atom_site_fract_y
_atom_site_fract_z
Mn1 Mn 0.0000 0.0000 0.0000
Cr1 Cr 0.0000 0.0000 0.2507
Cl1 Cl 0.0000 0.0000 0.5000

7.
# Sm3AlZn (PBE, relaxed)
# DOS(E_F) ... 5.065 states/eV/f.u.
# Formation enthalpy at 0 K ... -0.258 eV/atom
data_Sm3AlZn
_chemical_formula_sum 'Sm12 Al4 Zn4'
_symmetry_space_group_name_H-M 'C m c m'
_symmetry_Int_Tables_number 63
_symmetry_space_group_name_Hall '-C 2c 2'
_cell_length_a 5.193
_cell_length_b 19.925
_cell_length_c 5.191
_cell_angle_alpha 90.00
_cell_angle_beta 90.00
_cell_angle_gamma 90.00
loop_
_atom_site_label
_atom_site_type_symbol
_atom_site_fract_x
_atom_site_fract_y
_atom_site_fract_z
Sm1 Sm 0.000 0.067 0.250
Sm2 Sm 0.000 0.249 0.250
Sm3 Sm 0.000 0.430 0.250
Al1 Al 0.000 0.159 0.750
Zn1 Zn 0.000 0.341 0.750

8.
# SrY2C2 (PBE, relaxed)
# DOS(E_F) ... 0.538 states/eV/f.u.
# Formation enthalpy at 0 K ... 0.438 eV/atom
data_SrY2C2
_chemical_formula_sum 'Sr2 Y4 C4'
_symmetry_space_group_name_H-M 'P 4/m b m'
_symmetry_Int_Tables_number 127
_symmetry_space_group_name_Hall '-P 4 2ab'
_cell_length_a 7.308
_cell_length_b 7.308
_cell_length_c 3.437
_cell_angle_alpha 90.00
_cell_angle_beta 90.00
_cell_angle_gamma 90.00
loop_
_atom_site_label
_atom_site_type_symbol
_atom_site_fract_x
_atom_site_fract_y
_atom_site_fract_z
Sr1 Sr 0.000 0.000 0.000
Y1 Y 0.143 0.357 0.500
C1 C 0.167 0.667 0.000

9.
# RbAl2Re (PBE, relaxed)
# DOS(E_F) ... 4.092 states/eV/f.u.
# Formation enthalpy at 0 K ... 0.861 eV/atom
data_RbAl2Re
_chemical_formula_sum 'Rb4 Al8 Re4'
_symmetry_space_group_name_H-M 'I 41/a m d'
_symmetry_Int_Tables_number 141
_cell_length_a 6.066
_cell_length_b 6.066
_cell_length_c 15.295
_cell_angle_alpha 90.00
_cell_angle_beta 90.00
_cell_angle_gamma 90.00
loop_
_symmetry_equiv_pos_as_xyz
'x,y,z'
'-x,-y,-z'
'-y+1/4,x+3/4,z+1/4'
'y+1/4,-x+3/4,-z+1/4'
'-x+1/2,-y,z+1/2'
'x+1/2,y,-z+1/2'
'y+1/4,-x+1/4,z+3/4'
'-y+1/4,x+1/4,-z+3/4'
'x,-y,-z'
'-x,y,z'
'-y+1/4,-x+1/4,-z+3/4'
'y+1/4,x+1/4,z+3/4'
'-x+1/2,y,-z+1/2'
'x+1/2,-y,z+1/2'
'y+1/4,x+3/4,-z+1/4'
'-y+1/4,-x+3/4,z+1/4'
'x+1/2,y+1/2,z+1/2'
'-x+1/2,-y+1/2,-z+1/2'
'-y+3/4,x+1/4,z+3/4'
'y+3/4,-x+1/4,-z+3/4'
'-x,-y+1/2,z'
'x,y+1/2,-z'
'y+3/4,-x+3/4,z+1/4'
'-y+3/4,x+3/4,-z+1/4'
'x+1/2,-y+1/2,-z+1/2'
'-x+1/2,y+1/2,z+1/2'
'-y+3/4,-x+3/4,-z+1/4'
'y+3/4,x+3/4,z+1/4'
'-x,y+1/2,-z'
'x,-y+1/2,z'
'y+3/4,x+1/4,-z+3/4'
'-y+3/4,-x+1/4,z+3/4'
loop_
_atom_site_label
_atom_site_type_symbol
_atom_site_fract_x
_atom_site_fract_y
_atom_site_fract_z
Rb1 Rb 0.000 0.250 0.375
Al1 Al 0.000 0.000 0.000
Re1 Re 0.000 0.250 0.875

10.
# Tb3PmIn4 (PBE, relaxed)
# DOS(E_F) ... 3.327 states/eV/f.u.
# Formation enthalpy at 0 K ... -0.482 eV/atom
data_Tb3PmIn4
_chemical_formula_sum 'Tb6 Pm2 In8'
_symmetry_space_group_name_H-M 'P m m a'
_symmetry_Int_Tables_number 51
_symmetry_space_group_name_Hall '-P 2a 2a'
_cell_length_a 10.738
_cell_length_b 7.559
_cell_length_c 5.367
_cell_angle_alpha 90.00
_cell_angle_beta 90.00
_cell_angle_gamma 90.00
loop_
_atom_site_label
_atom_site_type_symbol
_atom_site_fract_x
_atom_site_fract_y
_atom_site_fract_z
Tb1 Tb 0.000 0.000 0.000
Tb2 Tb 0.250 0.000 0.498
Tb3 Tb 0.250 0.500 0.498
Pm1 Pm 0.000 0.500 0.000
In1 In 0.000 0.246 0.500
In2 In 0.250 0.246 0.997

11.
# Te2HPd (PBE, relaxed)
# DFT total energy ... -55.4 eV per cell
# DOS(E_F) ... 3.098 states/eV/f.u.
data_Te2HPd
_chemical_formula_sum 'Te8 H4 Pd4'
_symmetry_space_group_name_H-M 'I -4 2 d'
_symmetry_Int_Tables_number 122
_symmetry_space_group_name_Hall 'I -4 2bw'
_cell_length_a 5.903
_cell_length_b 5.903
_cell_length_c 9.926
_cell_angle_alpha 90.00
_cell_angle_beta 90.00
_cell_angle_gamma 90.00
loop_
_atom_site_label
_atom_site_type_symbol
_atom_site_fract_x
_atom_site_fract_y
_atom_site_fract_z
Te1 Te 0.201 0.250 0.125
H1 H 0.000 0.000 0.000
Pd1 Pd 0.000 0.000 0.500

12.
# NaCr3Ru (PBE, relaxed)
# DOS(E_F) ... 5.226 states/eV/f.u.
# Formation enthalpy at 0 K ... 1.124 eV/atom
data_NaCr3Ru
_chemical_formula_sum 'Na1 Cr3 Ru1'
_symmetry_space_group_name_H-M 'P m -3 m'
_symmetry_Int_Tables_number 221
_symmetry_space_group_name_Hall '-P 4 2 3'
_cell_length_a 4.768
_cell_length_b 4.768
_cell_length_c 4.768
_cell_angle_alpha 90.00
_cell_angle_beta 90.00
_cell_angle_gamma 90.00
loop_
_atom_site_label
_atom_site_type_symbol
_atom_site_fract_x
_atom_site_fract_y
_atom_site_fract_z
Na1 Na 0.000 0.000 0.000
Cr1 Cr 0.000 0.500 0.500
Ru1 Ru 0.500 0.500 0.500

13.
# VHgTe2 (PBE, relaxed)
# DFT total energy ... -64.1 eV per cell
# DOS(E_F) ... 3.006 states/eV/f.u.
data_VHgTe2
_chemical_formula_sum 'V4 Hg4 Te8'
_symmetry_space_group_name_H-M 'P n m a'
_symmetry_Int_Tables_number 62
_symmetry_space_group_name_Hall '-P 2ac 2n'
_cell_length_a 8.114
_cell_length_b 4.065
_cell_length_c 13.238
_cell_angle_alpha 90.00
_cell_angle_beta 90.00
_cell_angle_gamma 90.00
loop_
_atom_site_label
_atom_site_type_symbol
_atom_site_fract_x
_atom_site_fract_y
_atom_site_fract_z
V1 V 0.038 0.250 0.062
Hg1 Hg 0.184 0.250 0.843
Te1 Te 0.071 0.250 0.260
Te2 Te 0.249 0.750 0.041

14.
# CaSnPdPb2 (PBE, relaxed)
# DOS(E_F) ... 1.005 states/eV/f.u.
# Formation enthalpy at 0 K ... -0.163 eV/atom
data_CaSnPdPb2
_chemical_formula_sum 'Ca1 Sn1 Pd1 Pb2'
_symmetry_space_group_name_H-M 'P 4/m m m'
_symmetry_Int_Tables_number 123
_symmetry_space_group_name_Hall '-P 4 2'
_cell_length_a 5.330
_cell_length_b 5.330
_cell_length_c 5.386
_cell_angle_alpha 90.00
_cell_angle_beta 90.00
_cell_angle_gamma 90.00
loop_
_atom_site_label
_atom_site_type_symbol
_atom_site_fract_x
_atom_site_fract_y
_atom_site_fract_z
Ca1 Ca 0.000 0.000 0.000
Sn1 Sn 0.500 0.500 0.000
Pd1 Pd 0.000 0.000 0.500
Pb1 Pb 0.000 0.500 0.500

15.
# Pu3NiB2Pt9 (PBE, relaxed)
# DOS(E_F) ... 45.736 states/eV/f.u.
# Formation enthalpy at 0 K ... -0.420 eV/atom
data_Pu3NiB2Pt9
_chemical_formula_sum 'Pu3 Ni1 B2 Pt9'
_symmetry_space_group_name_H-M 'P -3 m 1'
_symmetry_Int_Tables_number 164
_symmetry_space_group_name_Hall '-P 3 2"'
_cell_length_a 6.7603
_cell_length_b 6.7603
_cell_length_c 6.6864
_cell_angle_alpha 90.00
_cell_angle_beta 90.00
_cell_angle_gamma 120.00
loop_
_atom_site_label
_atom_site_type_symbol
_atom_site_fract_x
_atom_site_fract_y
_atom_site_fract_z
Pu1 Pu 0.0000 0.0000 0.0000
Pu2 Pu 0.3333 0.6667 0.6749
Ni1 Ni 0.0000 0.0000 0.5000
B1 B 0.3333 0.6667 0.1393
Pt1 Pt 0.0000 0.5000 0.0000
Pt2 Pt 0.1855 0.3709 0.3301

16.
# Er6CuRu (PBE, relaxed)
# DOS(E_F) ... 9.571 states/eV/f.u.
# Formation enthalpy at 0 K ... -0.163 eV/atom
data_Er6CuRu
_chemical_formula_sum 'Er12 Cu2 Ru2'
_symmetry_space_group_name_H-M 'I 4/m m m'
_symmetry_Int_Tables_number 139
_symmetry_space_group_name_Hall '-I 4 2'
_cell_length_a 4.896
_cell_length_b 4.896
_cell_length_c 17.007
_cell_angle_alpha 90.00
_cell_angle_beta 90.00
_cell_angle_gamma 90.00
loop_
_atom_site_label
_atom_site_type_symbol
_atom_site_fract_x
_atom_site_fract_y
_atom_site_fract_z
Er1 Er 0.000 0.000 0.247
Er2 Er 0.000 0.500 0.096
Cu1 Cu 0.000 0.000 0.500
Ru1 Ru 0.000 0.000 0.000

17.
# SrY2Sn2 (PBE, relaxed)
# DOS(E_F) ... 4.486 states/eV/f.u.
# Formation enthalpy at 0 K ... -0.526 eV/atom
data_SrY2Sn2
_chemical_formula_sum 'Sr2 Y4 Sn4'
_symmetry_space_group_name_H-M 'I 4/m m m'
_symmetry_Int_Tables_number 139
_symmetry_space_group_name_Hall '-I 4 2'
_cell_length_a 4.974
_cell_length_b 4.974
_cell_length_c 13.506
_cell_angle_alpha 90.00
_cell_angle_beta 90.00
_cell_angle_gamma 90.00
loop_
_atom_site_label
_atom_site_type_symbol
_atom_site_fract_x
_atom_site_fract_y
_atom_site_fract_z
Sr1 Sr 0.000 0.000 0.000
Y1 Y 0.000 0.500 0.250
Sn1 Sn 0.000 0.000 0.390

18.
# Sc4SbPbO (PBE, relaxed)
# DFT total energy ... -188.2 eV per cell
# DOS(E_F) ... 7.470 states/eV/f.u.
data_Sc4SbPbO
_chemical_formula_sum 'Sc16 Sb4 Pb4 O4'
_symmetry_space_group_name_H-M 'C m c m'
_symmetry_Int_Tables_number 63
_symmetry_space_group_name_Hall '-C 2c 2'
_cell_length_a 6.059
_cell_length_b 15.757
_cell_length_c 6.063
_cell_angle_alpha 90.00
_cell_angle_beta 90.00
_cell_angle_gamma 90.00
loop_
_atom_site_label
_atom_site_type_symbol
_atom_site_fract_x
_atom_site_fract_y
_atom_site_fract_z
Sc1 Sc 0.000 0.078 0.250
Sc2 Sc 0.000 0.416 0.250
Sc3 Sc 0.250 0.250 0.000
Sb1 Sb 0.000 0.110 0.750
Pb1 Pb 0.000 0.394 0.750
O1 O 0.000 0.254 0.250

19.
# La2HoCuS5 (PBE, relaxed)
# DFT total energy ... -223.1 eV per cell
# DOS(E_F) ... 0.018 states/eV/f.u.
data_La2HoCuS5
_chemical_formula_sum 'La8 Ho4 Cu4 S20'
_symmetry_space_group_name_H-M 'C m c 21'
_symmetry_Int_Tables_number 36
_symmetry_space_group_name_Hall 'C 2c -2'
_cell_length_a 3.973
_cell_length_b 16.904
_cell_length_c 11.802
_cell_angle_alpha 90.00
_cell_angle_beta 90.00
_cell_angle_gamma 90.00
loop_
_atom_site_label
_atom_site_type_symbol
_atom_site_fract_x
_atom_site_fract_y
_atom_site_fract_z
La1 La 0.000 0.111 0.000
La2 La 0.000 0.122 0.630
Ho1 Ho 0.000 0.192 0.325
Cu1 Cu 0.000 0.444 0.760
S1 S 0.000 0.039 0.361
S2 S 0.000 0.293 0.985
S3 S 0.000 0.312 0.666
S4 S 0.000 0.354 0.317
S5 S 0.000 0.498 0.086

20.
# TlTc3 (PBE, relaxed)
# DOS(E_F) ... 4.610 states/eV/f.u.
# Formation enthalpy at 0 K ... 0.720 eV/atom
data_TlTc3
_chemical_formula_sum 'Tl1 Tc3'
_symmetry_space_group_name_H-M 'P m -3 m'
_symmetry_Int_Tables_number 221
_symmetry_space_group_name_Hall '-P 4 2 3'
_cell_length_a 4.030
_cell_length_b 4.030
_cell_length_c 4.030
_cell_angle_alpha 90.00
_cell_angle_beta 90.00
_cell_angle_gamma 90.00
loop_
_atom_site_label
_atom_site_type_symbol
_atom_site_fract_x
_atom_site_fract_y
_atom_site_fract_z
Tl1 Tl 0.000 0.000 0.000
Tc1 Tc 0.000 0.500 0.500